1.
This record from the Alexandria database describes an optimized crystal structure of PuPbAu. The functional is PBE.

a = 3.3977 Å, b = 5.0332 Å, c = 5.0332 Å
α = 120.00°, β = 90.00°, γ = 90.00°
Last column: magnetic moment on the atom in μB.
Atoms (fractional coordinates):
Pb 0.1666 0.3333 0.6667  -0.03
Au 0.1668 0.0000 0.0000  0.02
Pu 0.6666 0.6667 0.3333  5.52

Summary:
- formation enthalpy at 0 K (eV/atom) = -0.25

---

2.
This record from the Alexandria database describes an optimized crystal structure of Pu2PbAu. The functional is PBE.

a = 5.3172 Å, b = 5.3172 Å, c = 5.3172 Å
α = 60.00°, β = 60.00°, γ = 60.00°
Last column: magnetic moment on the atom in μB.
Atoms (fractional coordinates):
Pb 0.5000 0.5000 0.5000  -0.12
Pu 0.7500 0.7500 0.7500  5.40
Au 0.0000 0.0000 0.0000  0.01
Pu 0.2500 0.2500 0.2500  5.40

Summary:
- formation enthalpy at 0 K (eV/atom) = -0.21